## 1
# FePd4Au2

FePd4Au2 after structural relaxation (PBE, the Alexandria database).

Lattice parameters (Å, degrees): 7.432 8.034 3.961 90.00 90.00 90.00
Element x y z (fractional)
Fe: 0.000 0.000 0.000
Fe: 0.500 0.500 0.000
Pd: 0.000 0.207 0.500
Pd: 0.000 0.793 0.500
Pd: 0.250 0.250 0.000
Pd: 0.250 0.750 0.000
Pd: 0.500 0.293 0.500
Pd: 0.500 0.707 0.500
Pd: 0.750 0.250 0.000
Pd: 0.750 0.750 0.000
Au: 0.198 0.500 0.500
Au: 0.302 0.000 0.500
Au: 0.698 0.000 0.500
Au: 0.802 0.500 0.500

Calculated values
For the spin magnetization, the calculation gives 4.1 μB per formula unit. The symmetry is Cmmm.

---

## 2
# FePd4Au2

FePd4Au2 after structural relaxation (PBE, the Alexandria database).

Lattice parameters (Å, degrees): 4.629 4.629 13.157 90.00 90.00 90.00
Element x y z (fractional)
Fe: 0.000 0.000 0.000
Fe: 0.500 0.500 0.500
Pd: 0.000 0.000 0.179
Pd: 0.000 0.000 0.821
Pd: 0.000 0.500 0.000
Pd: 0.000 0.500 0.500
Pd: 0.500 0.000 0.000
Pd: 0.500 0.000 0.500
Pd: 0.500 0.500 0.321
Pd: 0.500 0.500 0.679
Au: 0.000 0.000 0.382
Au: 0.000 0.000 0.618
Au: 0.500 0.500 0.118
Au: 0.500 0.500 0.882

Calculated values
For the spin magnetization, the calculation gives 4.4 μB per formula unit. The symmetry is I4/mmm.

---

Relative calculated energies, zero for the most stable structure, unit kJ/mol of atoms: 1 0.0; 2 50.7.

---

## 1
# Fe2Pd8Au

Fe2Pd8Au after structural relaxation (PBE, the Alexandria database).

Lattice parameters (Å, degrees): 7.237 7.237 7.237 147.15 121.93 68.35
Element x y z (fractional)
Fe: 0.194 0.194 0.000
Fe: 0.806 0.806 0.000
Pd: 0.057 0.340 0.717
Pd: 0.193 0.000 0.193
Pd: 0.345 0.845 0.500
Pd: 0.377 0.660 0.717
Pd: 0.623 0.340 0.283
Pd: 0.655 0.155 0.500
Pd: 0.807 0.000 0.807
Pd: 0.943 0.660 0.283
Au: 0.500 0.500 0.000

Calculated values
For the spin magnetization, the calculation gives 8.9 μB per formula unit. The symmetry is Immm.

---

## 2
# Fe2Pd8Au

Fe2Pd8Au after structural relaxation (PBE, the Alexandria database).

Lattice parameters (Å, degrees): 7.290 7.290 6.277 106.03 106.03 31.50
Element x y z (fractional)
Fe: 0.225 0.225 0.150
Fe: 0.775 0.775 0.850
Pd: 0.047 0.047 0.225
Pd: 0.147 0.147 0.707
Pd: 0.317 0.317 0.586
Pd: 0.399 0.399 0.035
Pd: 0.601 0.601 0.965
Pd: 0.683 0.683 0.414
Pd: 0.853 0.853 0.293
Pd: 0.953 0.953 0.775
Au: 0.500 0.500 0.500

Calculated values
For the spin magnetization, the calculation gives 8.8 μB per formula unit. The symmetry is C2/m.

---

Relative calculated energies, zero for the most stable structure, unit kJ/mol of atoms: 1 5.6; 2 0.0.

---

## 1
# FePd3Au

FePd3Au after structural relaxation (PBE, the Alexandria database).

Lattice parameters (Å, degrees): 2.773 8.329 7.388 90.00 90.00 90.00
Element x y z (fractional)
Fe: 0.250 0.250 0.010
Fe: 0.750 0.750 0.990
Pd: 0.250 0.526 0.834
Pd: 0.250 0.750 0.286
Pd: 0.250 0.974 0.834
Pd: 0.750 0.026 0.166
Pd: 0.750 0.250 0.714
Pd: 0.750 0.474 0.166
Au: 0.250 0.250 0.390
Au: 0.750 0.750 0.610

Calculated values
For the spin magnetization, the calculation gives 4.1 μB per formula unit. The symmetry is Pmmn.

---

## 2
# FePd3Au

FePd3Au after structural relaxation (PBE, the Alexandria database).

Lattice parameters (Å, degrees): 4.587 4.587 4.587 90.00 90.00 90.00
Element x y z (fractional)
Fe: 0.000 0.000 0.000
Pd: 0.000 0.000 0.500
Pd: 0.000 0.500 0.000
Pd: 0.500 0.000 0.000
Au: 0.500 0.500 0.500

Calculated values
For the spin magnetization, the calculation gives 4.4 μB per formula unit. The symmetry is Pm-3m.

---

## 3
# FePd3Au

FePd3Au after structural relaxation (PBE, the Alexandria database).

Lattice parameters (Å, degrees): 7.388 7.388 5.630 101.02 101.02 141.87
Element x y z (fractional)
Fe: 0.103 0.897 0.750
Fe: 0.897 0.103 0.250
Pd: 0.300 0.700 0.750
Pd: 0.302 0.698 0.250
Pd: 0.500 0.500 0.250
Pd: 0.500 0.500 0.750
Pd: 0.698 0.302 0.750
Pd: 0.700 0.300 0.250
Au: 0.098 0.902 0.250
Au: 0.902 0.098 0.750

Calculated values
For the spin magnetization, the calculation gives 3.9 μB per formula unit. The symmetry is C2/c.

---

Relative calculated energies, zero for the most stable structure, unit kJ/mol of atoms: 1 12.9; 2 76.1; 3 0.0.

---

## 1
# Fe2Pd2Au

Fe2Pd2Au after structural relaxation (PBE, the Alexandria database).

Lattice parameters (Å, degrees): 8.559 3.983 5.937 90.00 133.08 90.00
Element x y z (fractional)
Fe: 0.085 0.000 0.277
Fe: 0.415 0.500 0.723
Fe: 0.585 0.500 0.277
Fe: 0.915 0.000 0.723
Pd: 0.203 0.500 0.119
Pd: 0.297 0.000 0.881
Pd: 0.703 0.000 0.119
Pd: 0.797 0.500 0.881
Au: 0.000 0.500 0.500
Au: 0.500 0.000 0.500

Calculated values
For the spin magnetization, the calculation gives 6.6 μB per formula unit. The symmetry is C2/m.

---

## 2
# Fe2Pd2Au

Fe2Pd2Au after structural relaxation (PBE, the Alexandria database).

Lattice parameters (Å, degrees): 6.734 6.734 5.384 90.00 90.00 141.97
Element x y z (fractional)
Fe: 0.115 0.885 0.500
Fe: 0.286 0.714 0.705
Fe: 0.714 0.286 0.205
Fe: 0.885 0.115 0.000
Pd: 0.314 0.686 0.220
Pd: 0.477 0.523 0.838
Pd: 0.523 0.477 0.338
Pd: 0.686 0.314 0.720
Au: 0.103 0.897 0.008
Au: 0.897 0.103 0.508

Calculated values
For the spin magnetization, the calculation gives 6.7 μB per formula unit. The symmetry is Cmc2_1.

---

Relative calculated energies, zero for the most stable structure, unit kJ/mol of atoms: 1 0.0; 2 5.5.

---

## 1
# Fe2Pd7Au2

Fe2Pd7Au2 after structural relaxation (PBE, the Alexandria database).

Lattice parameters (Å, degrees): 7.021 7.021 7.021 143.12 72.01 120.59
Element x y z (fractional)
Fe: 0.000 0.000 0.000
Fe: 0.663 0.163 0.500
Pd: 0.099 0.473 0.626
Pd: 0.241 0.878 0.363
Pd: 0.373 0.373 0.000
Pd: 0.515 0.878 0.637
Pd: 0.565 0.699 0.866
Pd: 0.833 0.699 0.134
Pd: 0.847 0.473 0.374
Au: 0.385 0.174 0.211
Au: 0.963 0.174 0.789

Calculated values
For the spin magnetization, the calculation gives 8.6 μB per formula unit. The symmetry is Imm2.

---

## 2
# Fe2Pd7Au2

Fe2Pd7Au2 after structural relaxation (PBE, the Alexandria database).

Lattice parameters (Å, degrees): 5.479 5.479 7.144 95.67 95.67 122.50
Element x y z (fractional)
Fe: 0.240 0.760 0.000
Fe: 0.760 0.240 0.000
Pd: 0.074 0.533 0.320
Pd: 0.302 0.302 0.088
Pd: 0.467 0.926 0.680
Pd: 0.500 0.500 0.500
Pd: 0.533 0.074 0.320
Pd: 0.698 0.698 0.912
Pd: 0.926 0.467 0.680
Au: 0.080 0.080 0.701
Au: 0.920 0.920 0.299

Calculated values
For the spin magnetization, the calculation gives 8.4 μB per formula unit. The symmetry is C2/m.

---

Relative calculated energies, zero for the most stable structure, unit kJ/mol of atoms: 1 0.0; 2 7.5.

---

## 1
# Fe3Pd6Au

Fe3Pd6Au after structural relaxation (PBE, the Alexandria database).

Lattice parameters (Å, degrees): 7.724 7.724 5.330 90.00 90.00 104.53
Element x y z (fractional)
Fe: 0.011 0.989 0.500
Fe: 0.235 0.513 0.472
Fe: 0.487 0.765 0.472
Fe: 0.513 0.235 0.972
Fe: 0.765 0.487 0.972
Fe: 0.989 0.011 0.000
Pd: 0.077 0.468 0.012
Pd: 0.190 0.810 0.250
Pd: 0.225 0.240 0.741
Pd: 0.240 0.225 0.241
Pd: 0.446 0.554 0.022
Pd: 0.468 0.077 0.512
Pd: 0.532 0.923 0.012
Pd: 0.554 0.446 0.522
Pd: 0.760 0.775 0.741
Pd: 0.775 0.760 0.241
Pd: 0.810 0.190 0.750
Pd: 0.923 0.532 0.512
Au: 0.200 0.800 0.757
Au: 0.800 0.200 0.257

Calculated values
For the spin magnetization, the calculation gives 10.9 μB per formula unit. The symmetry is Cmc2_1.

---

## 2
# Fe3Pd6Au

Fe3Pd6Au after structural relaxation (PBE, the Alexandria database).

Lattice parameters (Å, degrees): 7.294 4.483 9.704 90.00 110.42 90.00
Element x y z (fractional)
Fe: 0.098 0.250 0.224
Fe: 0.294 0.250 0.030
Fe: 0.308 0.750 0.368
Fe: 0.692 0.250 0.632
Fe: 0.706 0.750 0.970
Fe: 0.902 0.750 0.776
Pd: 0.086 0.250 0.737
Pd: 0.104 0.750 0.070
Pd: 0.304 0.750 0.875
Pd: 0.306 0.250 0.524
Pd: 0.480 0.250 0.321
Pd: 0.497 0.250 0.832
Pd: 0.503 0.750 0.168
Pd: 0.520 0.750 0.679
Pd: 0.694 0.750 0.476
Pd: 0.696 0.250 0.125
Pd: 0.896 0.250 0.930
Pd: 0.914 0.750 0.263
Au: 0.109 0.750 0.572
Au: 0.891 0.250 0.428

Calculated values
For the spin magnetization, the calculation gives 11.2 μB per formula unit. The symmetry is P2_1/m.

---

Relative calculated energies, zero for the most stable structure, unit kJ/mol of atoms: 1 9.3; 2 0.0.